Here is a relaxed structure of Sr2UCrO6 from Alexandria. Energies are from GGA+U.

```
Sr2UCrO6
1.0
5.110 -0.554 -2.787
3.851 -4.044 1.732
1.015 -4.691 -3.340
Sr U Cr O
2 1 1 6
Cartesian
2.494 -2.322 -1.099
7.482 -6.967 -3.296
0.000 0.000 0.000
4.988 -4.644 -2.197
4.437 -4.353 -0.292
5.539 -4.935 -4.103
3.061 -4.667 -2.751
6.915 -4.622 -1.643
5.047 -2.661 -2.483
4.929 -6.628 -1.911
```

Values from the calculation:
**Polymorph energy (0 for the lowest one)**: 0.0291 eV per atom
**Energy**: -8.05 eV per atom